[1]
Entry from the Open Quantum Materials Database: W after structural relaxation (PBE).

## Properties
symmetry: P6_3/mmc
calculated formation energy: 0.477 eV per atom
crystal system: hexagonal

a b c (Å): 2.7903 2.7903 9.7627
angles (deg): 90.00 90.00 120.00
Last column: nearest neighbours and their distance in Å.
Sites, in units of the cell vectors:
W: 0.0000 0.0000 0.0000  12 W 2.79-2.92
W: 0.0000 0.0000 0.5000  12 W 2.79-2.92
W: 0.3333 0.6667 0.2500  12 W 2.79-2.92
W: 0.6667 0.3333 0.7500  12 W 2.79-2.92


[2]
Entry from the Open Quantum Materials Database: W after structural relaxation (PBE).

## Properties
symmetry: Im-3m
calculated formation energy: 0.000 eV per atom
crystal system: cubic

a b c (Å): 2.7574 2.7574 2.7574
angles (deg): 109.47 109.47 109.47
Last column: nearest neighbours and their distance in Å.
Sites, in units of the cell vectors:
W: 0.0000 0.0000 0.0000  8 W 2.76


[3]
Entry from the Open Quantum Materials Database: W after structural relaxation (PBE).

## Properties
symmetry: I-43m
calculated formation energy: 0.286 eV per atom
crystal system: cubic

a b c (Å): 8.5569 8.5569 8.5569
angles (deg): 109.47 109.47 109.47
Last column: nearest neighbours and their distance in Å.
Sites, in units of the cell vectors:
W: 0.0000 0.0000 0.0000  16 W 3.09-3.11
W: 0.0000 0.0000 0.3607  9 W 2.75-3.03
W: 0.0000 0.3139 0.5921  8 W 2.66-2.90
W: 0.0000 0.3607 0.0000  9 W 2.75-3.03
W: 0.0000 0.5921 0.3139  8 W 2.66-2.90
W: 0.0000 0.6203 0.8088  8 W 2.63-2.87
W: 0.0000 0.8088 0.6203  8 W 2.63-2.87
W: 0.1885 0.3797 0.3797  8 W 2.63-2.87
W: 0.1912 0.1912 0.8115  8 W 2.63-2.87
W: 0.1912 0.8115 0.1912  8 W 2.63-2.87
W: 0.2782 0.6861 0.6861  8 W 2.66-2.90
W: 0.3139 0.0000 0.5921  8 W 2.66-2.90
W: 0.3139 0.5921 0.0000  8 W 2.66-2.90
W: 0.3607 0.0000 0.0000  9 W 2.75-3.03
W: 0.3797 0.1885 0.3797  8 W 2.63-2.87
W: 0.3797 0.3797 0.1885  8 W 2.63-2.87
W: 0.4079 0.4079 0.7218  8 W 2.66-2.90
W: 0.4079 0.7218 0.4079  8 W 2.66-2.90
W: 0.5921 0.0000 0.3139  8 W 2.66-2.90
W: 0.5921 0.3139 0.0000  8 W 2.66-2.90
W: 0.6203 0.0000 0.8088  8 W 2.63-2.87
W: 0.6203 0.8088 0.0000  8 W 2.63-2.87
W: 0.6393 0.6393 0.6393  9 W 2.75-3.03
W: 0.6861 0.2782 0.6861  8 W 2.66-2.90
W: 0.6861 0.6861 0.2782  8 W 2.66-2.90
W: 0.7218 0.4079 0.4079  8 W 2.66-2.90
W: 0.8088 0.0000 0.6203  8 W 2.63-2.87
W: 0.8088 0.6203 0.0000  8 W 2.63-2.87
W: 0.8115 0.1912 0.1912  8 W 2.63-2.87